Entry 1:
This record from the Alexandria database describes a geometry-optimized NaAlGe structure. The functional is PBE.

abc: 4.448 4.448 7.208
angles: 90.00 90.00 120.00
Atoms (fractional coordinates):
Na: 0.667 0.333 0.000
Na: 0.667 0.333 0.500
Ge: 0.000 0.000 0.301
Ge: 0.000 0.000 0.699
Al: 0.333 0.667 0.201
Al: 0.333 0.667 0.799

## Properties
- Fermi-level density of states (states/eV per atom) = 0.100
- formation energy (eV per atom) = -0.062



Entry 2:
This record from the Alexandria database describes a geometry-optimized NaAlGe structure. The functional is PBE.

abc: 14.421 7.533 5.987
angles: 90.00 157.23 90.00
Atoms (fractional coordinates):
Na: 0.889 0.797 0.872
Na: 0.111 0.203 0.128
Na: 0.611 0.297 0.628
Na: 0.389 0.703 0.372
Ge: 0.063 0.420 0.445
Ge: 0.937 0.580 0.555
Ge: 0.437 0.920 0.055
Ge: 0.563 0.080 0.945
Al: 0.187 0.089 0.823
Al: 0.813 0.911 0.177
Al: 0.313 0.589 0.677
Al: 0.687 0.411 0.323

## Properties
- Fermi-level density of states (states/eV per atom) = 0.133
- formation energy (eV per atom) = -0.027



Entry 3:
This record from the Alexandria database describes a geometry-optimized NaAlGe structure. The functional is PBE.

abc: 7.893 7.740 6.510
angles: 66.62 64.17 49.20
Atoms (fractional coordinates):
Na: 0.613 0.613 0.387
Na: 0.363 0.363 0.137
Na: 0.387 0.387 0.613
Na: 0.137 0.137 0.363
Ge: 0.792 0.208 0.792
Ge: 0.542 0.958 0.542
Ge: 0.958 0.542 0.958
Ge: 0.208 0.792 0.208
Al: 0.133 0.133 0.867
Al: 0.883 0.883 0.617
Al: 0.867 0.867 0.133
Al: 0.617 0.617 0.883

## Properties
- Fermi-level density of states (states/eV per atom) = 0.000
- formation energy (eV per atom) = -0.006



Entry 4:
This record from the Alexandria database describes a geometry-optimized NaAlGe structure. The functional is PBE.

abc: 7.248 7.248 5.822
angles: 90.00 90.00 156.54
Atoms (fractional coordinates):
Na: 0.500 0.500 0.000
Na: 0.500 0.500 0.500
Ge: 0.155 0.845 0.250
Ge: 0.845 0.155 0.750
Al: 0.811 0.189 0.250
Al: 0.189 0.811 0.750

## Properties
- Fermi-level density of states (states/eV per atom) = 0.246
- formation energy (eV per atom) = 0.071



Entry 5:
This record from the Alexandria database describes a geometry-optimized NaAlGe structure. The functional is PBE.

abc: 6.752 6.525 3.096
angles: 76.29 90.06 75.53
Atoms (fractional coordinates):
Na: 0.775 0.963 0.521
Na: 0.225 0.037 0.479
Ge: 0.465 0.337 0.831
Ge: 0.535 0.663 0.169
Al: 0.144 0.582 0.209
Al: 0.856 0.418 0.791

## Properties
- Fermi-level density of states (states/eV per atom) = 0.315
- formation energy (eV per atom) = 0.085



Entry 6:
This record from the Alexandria database describes a geometry-optimized NaAlGe2 structure. The functional is PBE.

abc: 4.184 4.184 6.644
angles: 71.65 71.65 60.00
Atoms (fractional coordinates):
Na: 0.500 0.500 0.500
Ge: 0.279 0.279 0.163
Ge: 0.721 0.721 0.837
Al: 0.000 0.000 0.000

## Properties
- Fermi-level density of states (states/eV per atom) = 0.414
- formation energy (eV per atom) = 0.090